First-principles (GGA-PBE) data for an optimized crystal structure of Tb7Pr2Sc2, as listed in Alexandria via LeMat-Bulk.

energy relative to the elements = 0.16 eV/atom
calculated volume = 353.18 Å³/cell
space-group type = Imm2, No. 44
excess energy over the best structure of this formula in the dataset = 0.004 eV/atom
mass density = 6.98 g cm⁻³

a b c (Å): 3.5102 10.7565 10.7565
angles (deg): 62.36 80.61 80.61
Element x y z (fractional)
Tb 0.3241 0.7348 0.6169
Tb 0.1127 0.1846 0.5900
Tb 0.7845 0.0240 0.4071
Tb 0.8873 0.4100 0.8154
Tb 0.5000 0.0979 0.9021
Tb 0.2155 0.5929 0.9760
Tb 0.6759 0.3831 0.2652
Sc 0.6703 0.8804 0.7790
Sc 0.3297 0.2210 0.1196
Pr 0.0000 0.8119 0.1881
Pr 0.5000 0.5133 0.4867

First-principles (GGA-PBE) data for an optimized crystal structure of Tb3Pr5Sc, as listed in Alexandria via LeMat-Bulk.

energy relative to the elements = 0.54 eV/atom
calculated volume = 689.50 Å³/cell
space-group type = C2/m, No. 12
mass density = 5.91 g cm⁻³

a b c (Å): 8.1621 8.1621 11.4774
angles (deg): 72.28 72.28 90.48
Element x y z (fractional)
Pr 0.6965 0.6965 0.0884
Pr 0.4687 0.4687 0.3798
Pr 0.4267 0.9608 0.3490
Pr 0.7459 0.2541 0.0000
Pr 0.2541 0.7459 0.0000
Pr 0.5733 0.0392 0.6510
Pr 0.0392 0.5733 0.6510
Pr 0.9608 0.4267 0.3490
Pr 0.5313 0.5313 0.6202
Pr 0.3035 0.3035 0.9116
Tb 0.6235 0.6235 0.8426
Tb 0.7982 0.7982 0.3420
Tb 0.0000 0.0000 0.5000
Tb 0.0000 0.0000 0.0000
Tb 0.2018 0.2018 0.6580
Tb 0.3765 0.3765 0.1574
Sc 0.9088 0.9088 0.7949
Sc 0.0912 0.0912 0.2051

First-principles (GGA-PBE) data for an optimized crystal structure of TbPr5Sc, as listed in Alexandria via LeMat-Bulk.

energy relative to the elements = 0.24 eV/atom
calculated volume = 251.10 Å³/cell
space-group type = P4/mmm, No. 123
mass density = 6.01 g cm⁻³

a b c (Å): 5.4090 5.4090 8.5825
angles (deg): 90.00 90.00 90.00
Element x y z (fractional)
Pr 0.5000 0.0000 0.7119
Pr 0.0000 0.5000 0.2881
Pr 0.0000 0.5000 0.7119
Pr 0.5000 0.5000 0.0000
Pr 0.5000 0.0000 0.2881
Sc 0.0000 0.0000 0.5000
Tb 0.0000 0.0000 0.0000

First-principles (GGA-PBE) data for an optimized crystal structure of TbPrSc, as listed in Alexandria via LeMat-Bulk.

energy relative to the elements = 0.06 eV/atom
calculated volume = 184.96 Å³/cell
space-group type = P4/nmm, No. 129
excess energy over the best structure of this formula in the dataset = 0.002 eV/atom
mass density = 6.19 g cm⁻³

a b c (Å): 3.5637 3.5609 15.0015
angles (deg): 103.70 90.00 90.00
Last column: magnetic moment on the atom in μB.
Element x y z (fractional)
Pr 0.3467 0.8394 0.5062  0.01
Pr 0.8467 0.1505 0.3173  0.01
Tb 0.8468 0.5193 0.6861  0.00
Tb 0.3469 0.4705 0.1374  0.00
Sc 0.8471 0.8130 0.9800  0.15
Sc 0.3470 0.1767 0.8436  0.15

First-principles (GGA-PBE) data for an optimized crystal structure of Tb4PrSc2, as listed in Alexandria via LeMat-Bulk.

energy relative to the elements = 0.14 eV/atom
calculated volume = 426.11 Å³/cell
space-group type = P2_1/m, No. 11
excess energy over the best structure of this formula in the dataset = 0.000 eV/atom
mass density = 6.75 g cm⁻³

a b c (Å): 5.4685 6.8023 11.7783
angles (deg): 90.00 103.46 90.00
Element x y z (fractional)
Sc 0.5011 0.2500 0.0081
Sc 0.7841 0.7500 0.5695
Sc 0.4989 0.7500 0.9919
Sc 0.2159 0.2500 0.4305
Tb 0.3535 0.5020 0.7064
Tb 0.7857 0.2500 0.5696
Tb 0.3535 0.9980 0.7064
Tb 0.2143 0.7500 0.4304
Tb 0.6465 0.4980 0.2936
Tb 0.0763 0.2500 0.1566
Tb 0.6465 0.0020 0.2936
Tb 0.9237 0.7500 0.8434
Pr 0.9264 0.2500 0.8587
Pr 0.0736 0.7500 0.1413

First-principles (GGA-PBE) data for an optimized crystal structure of Tb7Pr12Sc, as listed in Alexandria via LeMat-Bulk.

energy relative to the elements = 0.19 eV/atom
calculated volume = 702.16 Å³/cell
space-group type = R-3m, No. 166
excess energy over the best structure of this formula in the dataset = 0.043 eV/atom
mass density = 6.74 g cm⁻³

a b c (Å): 6.2764 11.5566 11.5566
angles (deg): 116.80 100.43 100.43
Element x y z (fractional)
Pr 0.0885 0.1764 0.5881
Pr 0.4997 0.5881 0.4118
Pr 0.5775 0.6478 0.0000
Pr 0.4224 0.0000 0.3522
Pr 0.9115 0.8236 0.4119
Pr 0.0702 0.6478 0.6478
Pr 0.9298 0.3522 0.3522
Pr 0.5776 0.0000 0.6478
Pr 0.4225 0.3522 0.0000
Pr 0.9121 0.4118 0.8236
Pr 0.5003 0.4119 0.5882
Pr 0.0879 0.5882 0.1764
Tb 0.5000 0.0000 0.0000
Tb 0.6404 0.7583 0.7582
Tb 0.3596 0.2417 0.2418
Tb 0.1179 0.0001 0.7583
Tb 0.8822 0.2418 0.0001
Tb 0.8821 0.9999 0.2417
Tb 0.1178 0.7582 0.9999
Sc 0.0000 0.0000 0.0000

First-principles (GGA-PBE) data for an optimized crystal structure of Tb7Pr12Sc, as listed in Alexandria via LeMat-Bulk.

energy relative to the elements = 0.15 eV/atom
calculated volume = 691.28 Å³/cell
space-group type = R-3, No. 148
excess energy over the best structure of this formula in the dataset = 0.000 eV/atom
mass density = 6.84 g cm⁻³

a b c (Å): 9.4598 9.4598 9.4598
angles (deg): 107.69 107.69 107.69
Element x y z (fractional)
Pr 0.3226 0.6170 0.7797
Pr 0.4029 0.0564 0.2937
Pr 0.7797 0.3226 0.6170
Pr 0.2203 0.6774 0.3830
Pr 0.5971 0.9436 0.7063
Pr 0.2937 0.4029 0.0564
Pr 0.6774 0.3830 0.2203
Pr 0.0564 0.2937 0.4029
Pr 0.6170 0.7797 0.3226
Pr 0.9436 0.7063 0.5971
Pr 0.3830 0.2203 0.6774
Pr 0.7063 0.5971 0.9436
Tb 0.5000 0.5000 0.5000
Tb 0.3144 0.0058 0.8988
Tb 0.1012 0.6856 0.9942
Tb 0.0058 0.8988 0.3144
Tb 0.8988 0.3144 0.0058
Tb 0.9942 0.1012 0.6856
Tb 0.6856 0.9942 0.1012
Sc 0.0000 0.0000 0.0000

First-principles (GGA-PBE) data for an optimized crystal structure of TbPr8Sc2, as listed in Alexandria via LeMat-Bulk.

energy relative to the elements = 0.12 eV/atom
calculated volume = 375.48 Å³/cell
space-group type = Immm, No. 71
excess energy over the best structure of this formula in the dataset = 0.000 eV/atom
mass density = 6.09 g cm⁻³

a b c (Å): 5.5654 8.5488 9.3968
angles (deg): 117.06 107.23 90.00
Element x y z (fractional)
Pr 0.8404 0.8404 0.6808
Pr 0.3554 0.5580 0.7108
Pr 0.0000 0.6986 0.0000
Pr 0.6446 0.8472 0.2892
Pr 0.3554 0.1528 0.7108
Pr 0.1596 0.1596 0.3192
Pr 0.0000 0.3014 0.0000
Pr 0.6446 0.4420 0.2892
Sc 0.2011 0.7011 0.4023
Sc 0.7989 0.2989 0.5977
Tb 0.5000 0.0000 0.0000

First-principles (GGA-PBE) data for an optimized crystal structure of Tb3Pr8Sc, as listed in Alexandria via LeMat-Bulk.

energy relative to the elements = 0.54 eV/atom
calculated volume = 449.61 Å³/cell
space-group type = I-42m, No. 121
mass density = 6.09 g cm⁻³

a b c (Å): 8.5270 8.5270 8.5270
angles (deg): 93.15 118.20 118.20
Element x y z (fractional)
Sc 0.0000 0.0000 0.0000
Pr 0.0000 0.8819 0.6299
Pr 0.4814 0.2245 0.2245
Pr 0.5186 0.7431 0.7431
Pr 0.0000 0.7755 0.2569
Pr 0.0000 0.2569 0.7755
Pr 0.2520 0.3701 0.3701
Pr 0.0000 0.6299 0.8819
Pr 0.7480 0.1181 0.1181
Tb 0.0000 0.5000 0.5000
Tb 0.5000 0.2500 0.7500
Tb 0.5000 0.7500 0.2500

First-principles (GGA-PBE) data for an optimized crystal structure of Tb4Pr7Sc, as listed in Alexandria via LeMat-Bulk.

energy relative to the elements = 0.03 eV/atom
calculated volume = 404.95 Å³/cell
space-group type = P-1, No. 2
excess energy over the best structure of this formula in the dataset = 0.000 eV/atom
mass density = 6.84 g cm⁻³

a b c (Å): 7.2333 6.2609 9.6285
angles (deg): 96.14 78.97 73.78
Element x y z (fractional)
Pr 0.6706 0.9957 0.3285
Pr 0.3294 0.0043 0.6715
Pr 0.7503 0.5000 0.5034
Pr 0.9153 0.5031 0.8386
Pr 0.2497 0.5000 0.4966
Pr 0.0847 0.4969 0.1614
Pr 0.5000 0.0000 0.0000
Tb 0.5866 0.4936 0.1648
Tb 0.8341 0.0022 0.6702
Tb 0.4134 0.5064 0.8352
Tb 0.1659 0.9978 0.3298
Sc 0.0000 0.0000 0.0000

First-principles (GGA-PBE) data for an optimized crystal structure of Tb8PrSc2, as listed in Alexandria via LeMat-Bulk.

energy relative to the elements = 0.13 eV/atom
calculated volume = 346.77 Å³/cell
space-group type = Immm, No. 71
excess energy over the best structure of this formula in the dataset = 0.000 eV/atom
mass density = 7.19 g cm⁻³

a b c (Å): 5.4121 8.1992 9.2301
angles (deg): 116.37 107.05 90.00
Element x y z (fractional)
Pr 0.5000 0.0000 0.0000
Tb 0.3565 0.5608 0.7131
Tb 0.3565 0.1523 0.7131
Tb 0.1643 0.1643 0.3286
Tb 0.6435 0.8477 0.2869
Tb 0.8357 0.8357 0.6714
Tb 0.0000 0.3006 0.0000
Tb 0.6435 0.4392 0.2869
Tb 0.0000 0.6994 0.0000
Sc 0.8006 0.3006 0.6011
Sc 0.1994 0.6994 0.3989

First-principles (GGA-PBE) data for an optimized crystal structure of TbPrSc4, as listed in Alexandria via LeMat-Bulk.

energy relative to the elements = 0.14 eV/atom
calculated volume = 332.26 Å³/cell
space-group type = P2_1/m, No. 11
excess energy over the best structure of this formula in the dataset = 0.066 eV/atom
mass density = 4.79 g cm⁻³

a b c (Å): 6.1970 9.1256 6.6490
angles (deg): 90.00 90.00 117.92
Element x y z (fractional)
Sc 0.2176 0.8140 0.4954
Sc 0.7824 0.1860 0.9954
Sc 0.7824 0.1860 0.5046
Sc 0.7594 0.5216 0.2500
Sc 0.2176 0.8140 0.0046
Sc 0.7392 0.8588 0.2500
Sc 0.2608 0.1412 0.7500
Sc 0.2406 0.4784 0.7500
Tb 0.2203 0.4933 0.2500
Tb 0.7797 0.5067 0.7500
Pr 0.6996 0.8454 0.7500
Pr 0.3004 0.1546 0.2500

First-principles (GGA-PBE) data for an optimized crystal structure of Tb4PrSc2, as listed in Alexandria via LeMat-Bulk.

energy relative to the elements = 0.20 eV/atom
calculated volume = 432.30 Å³/cell
space-group type = Cmcm, No. 63
excess energy over the best structure of this formula in the dataset = 0.059 eV/atom
mass density = 6.66 g cm⁻³

a b c (Å): 6.9097 6.9097 10.6824
angles (deg): 90.00 90.00 122.05
Element x y z (fractional)
Tb 0.7787 0.7786 0.0000
Tb 0.2857 0.7144 0.4498
Tb 0.7143 0.2856 0.5502
Tb 0.7144 0.2857 0.9498
Tb 0.2213 0.2214 0.0000
Tb 0.7786 0.7787 0.5000
Tb 0.2214 0.2213 0.5000
Tb 0.2856 0.7143 0.0502
Sc 0.0990 0.9010 0.2500
Sc 0.4648 0.5352 0.7500
Sc 0.5352 0.4648 0.2500
Sc 0.9010 0.0990 0.7500
Pr 0.1827 0.8173 0.7500
Pr 0.8173 0.1827 0.2500

First-principles (GGA-PBE) data for an optimized crystal structure of Tb5Pr3Sc2, as listed in Alexandria via LeMat-Bulk.

energy relative to the elements = 0.35 eV/atom
calculated volume = 675.92 Å³/cell
space-group type = Ibam, No. 72
mass density = 6.42 g cm⁻³

a b c (Å): 9.8502 9.8502 9.8502
angles (deg): 113.39 124.89 91.78
Element x y z (fractional)
Sc 0.1767 0.1168 0.0598
Sc 0.0570 0.6168 0.4402
Sc 0.9430 0.3832 0.5598
Sc 0.8233 0.8832 0.9402
Tb 0.5000 0.7500 0.2500
Tb 0.2427 0.9927 0.7500
Tb 0.6211 0.3950 0.2261
Tb 0.7573 0.0073 0.2500
Tb 0.1689 0.8950 0.2739
Tb 0.5000 0.2500 0.7500
Tb 0.3789 0.6050 0.7739
Tb 0.8311 0.1050 0.7261
Tb 0.2427 0.4927 0.2500
Tb 0.7573 0.5073 0.7500
Pr 0.0000 0.7500 0.7500
Pr 0.7901 0.6584 0.1316
Pr 0.5268 0.1584 0.3684
Pr 0.0000 0.2500 0.2500
Pr 0.2099 0.3416 0.8684
Pr 0.4732 0.8416 0.6316

First-principles (GGA-PBE) data for an optimized crystal structure of Tb2Pr2Sc, as listed in Alexandria via LeMat-Bulk.

energy relative to the elements = 0.20 eV/atom
calculated volume = 334.06 Å³/cell
space-group type = P2_1/m, No. 11
excess energy over the best structure of this formula in the dataset = 0.009 eV/atom
mass density = 6.41 g cm⁻³

a b c (Å): 5.4064 8.6581 7.6195
angles (deg): 110.51 90.00 90.00
Element x y z (fractional)
Tb 0.2457 0.8402 0.9255
Tb 0.2457 0.8955 0.4323
Tb 0.7457 0.1598 0.0745
Tb 0.7457 0.1045 0.5677
Sc 0.7457 0.8015 0.1818
Sc 0.2457 0.1985 0.8182
Pr 0.2457 0.3031 0.4361
Pr 0.7457 0.4811 0.8334
Pr 0.2457 0.5189 0.1666
Pr 0.7457 0.6969 0.5639

First-principles (GGA-PBE) data for an optimized crystal structure of Tb12Pr5Sc2, as listed in Alexandria via LeMat-Bulk.

energy relative to the elements = 0.17 eV/atom
calculated volume = 626.90 Å³/cell
space-group type = C2/m, No. 12
mass density = 7.16 g cm⁻³

a b c (Å): 7.2774 10.0816 9.9867
angles (deg): 68.22 90.00 111.16
Element x y z (fractional)
Pr 0.1842 0.3683 0.8142
Pr 0.3212 0.6423 0.2030
Pr 0.8158 0.6317 0.1858
Pr 0.6788 0.3577 0.7970
Pr 0.0000 0.0000 0.5000
Tb 0.0848 0.6748 0.5049
Tb 0.0131 0.0262 0.7866
Tb 0.5901 0.6748 0.5049
Tb 0.4099 0.3252 0.4951
Tb 0.9152 0.3252 0.4951
Tb 0.5937 0.6854 0.8596
Tb 0.4063 0.3146 0.1404
Tb 0.4962 0.9925 0.3140
Tb 0.0917 0.6854 0.8596
Tb 0.9869 0.9738 0.2134
Tb 0.9083 0.3146 0.1404
Tb 0.5038 0.0075 0.6860
Sc 0.6974 0.0000 0.0000
Sc 0.3026 0.0000 0.0000

First-principles (GGA-PBE) data for an optimized crystal structure of TbPr9Sc2, as listed in Alexandria via LeMat-Bulk.

energy relative to the elements = 0.03 eV/atom
calculated volume = 403.25 Å³/cell
space-group type = P4/mmm, No. 123
mass density = 6.25 g cm⁻³

a b c (Å): 5.1207 5.1207 15.3785
angles (deg): 90.00 90.00 90.00
Element x y z (fractional)
Sc 0.0000 0.0000 0.3355
Sc 0.0000 0.0000 0.6645
Pr 0.5000 0.5000 0.3358
Pr 0.5000 0.5000 0.6642
Pr 0.0000 0.5000 0.8288
Pr 0.5000 0.5000 0.0000
Pr 0.5000 0.0000 0.5000
Pr 0.0000 0.5000 0.1712
Pr 0.5000 0.0000 0.1712
Pr 0.5000 0.0000 0.8288
Pr 0.0000 0.5000 0.5000
Tb 0.0000 0.0000 0.0000

First-principles (GGA-PBE) data for an optimized crystal structure of Tb9PrSc2, as listed in Alexandria via LeMat-Bulk.

energy relative to the elements = 0.04 eV/atom
calculated volume = 371.76 Å³/cell
space-group type = P4/mmm, No. 123
mass density = 7.42 g cm⁻³

a b c (Å): 4.9892 4.9892 14.9346
angles (deg): 90.00 90.00 90.00
Element x y z (fractional)
Tb 0.0000 0.5000 0.1737
Tb 0.0000 0.5000 0.8263
Tb 0.5000 0.0000 0.8263
Tb 0.5000 0.5000 0.0000
Tb 0.5000 0.0000 0.1737
Tb 0.5000 0.5000 0.6620
Tb 0.0000 0.5000 0.5000
Tb 0.5000 0.5000 0.3380
Tb 0.5000 0.0000 0.5000
Sc 0.0000 0.0000 0.3366
Sc 0.0000 0.0000 0.6634
Pr 0.0000 0.0000 0.0000

First-principles (GGA-PBE) data for an optimized crystal structure of Tb6PrSc, as listed in Alexandria via LeMat-Bulk.

energy relative to the elements = 0.40 eV/atom
calculated volume = 280.36 Å³/cell
space-group type = C2/m, No. 12
excess energy over the best structure of this formula in the dataset = 0.360 eV/atom
mass density = 6.75 g cm⁻³

a b c (Å): 5.7468 5.7468 9.1201
angles (deg): 77.60 77.60 75.24
Element x y z (fractional)
Tb 0.0588 0.5471 0.2891
Tb 0.6330 0.6330 0.0733
Tb 0.4529 0.9412 0.7109
Tb 0.5471 0.0588 0.2891
Tb 0.3670 0.3670 0.9267
Tb 0.9412 0.4529 0.7109
Pr 0.5000 0.5000 0.5000
Sc 0.0000 0.0000 0.0000

First-principles (GGA-PBE) data for an optimized crystal structure of Tb4Pr6Sc, as listed in Alexandria via LeMat-Bulk.

energy relative to the elements = 0.28 eV/atom
calculated volume = 381.13 Å³/cell
space-group type = I-42m, No. 121
mass density = 6.65 g cm⁻³

a b c (Å): 9.9126 9.9126 9.9126
angles (deg): 56.19 141.10 141.10
Element x y z (fractional)
Pr 0.6432 0.1866 0.1866
Pr 0.5000 0.5000 0.0000
Pr 0.5000 0.0000 0.5000
Pr 0.0000 0.8134 0.4566
Pr 0.0000 0.4566 0.8134
Pr 0.3568 0.5434 0.5434
Tb 0.6317 0.9889 0.9889
Tb 0.0000 0.0111 0.6427
Tb 0.0000 0.6427 0.0111
Tb 0.3683 0.3573 0.3573
Sc 0.0000 0.0000 0.0000